VASP calculation (GGA-PBE) on a geometry-optimized SrHfO3 structure.

Cell: 5.885 10.249 5.650 Å, 90.00 90.00 90.00°
Sites, in units of the cell vectors:
1 Sr 0.000 0.000 0.000
2 Sr 0.000 0.500 0.000
3 Sr 0.500 0.000 0.500
4 Sr 0.500 0.500 0.500
5 Hf 0.025 0.250 0.477
6 Hf 0.475 0.750 0.977
7 Hf 0.525 0.250 0.023
8 Hf 0.975 0.750 0.523
9 O 0.149 0.102 0.637
10 O 0.149 0.398 0.637
11 O 0.200 0.250 0.172
12 O 0.300 0.750 0.672
13 O 0.351 0.602 0.137
14 O 0.351 0.898 0.137
15 O 0.649 0.102 0.863
16 O 0.649 0.398 0.863
17 O 0.700 0.250 0.328
18 O 0.800 0.750 0.828
19 O 0.851 0.602 0.363
20 O 0.851 0.898 0.363

Summary:
M_tot = 0.00 μB/f.u.
E_form (uncorrected) = -3083 meV/atom